[1]
Below is Li3BeHg after structural relaxation, with properties calculated at the PBE level.

Results
- E above lowest polymorph (meV/atom) = 217.0
- symmetry = Pm-3m, No. 221

Unit cell a=4.888 b=4.888 c=4.888 alpha=90.00 beta=90.00 gamma=90.00
Atoms (fractional coordinates):
Hg (0.000, 0.000, 0.000)
Be (0.500, 0.500, 0.500)
Li (0.000, 0.500, 0.000)
Li (0.000, 0.000, 0.500)
Li (0.500, 0.000, 0.000)



[2]
Below is LiBe2Hg after structural relaxation, with properties calculated at the PBE level.

Results
- symmetry = P4/mmm, No. 123

Unit cell a=3.674 b=3.674 c=3.786 alpha=90.00 beta=90.00 gamma=90.00
Atoms (fractional coordinates):
Li (0.000, 0.500, 0.500)
Hg (0.500, 0.000, 0.500)
Be (0.500, 0.500, 0.000)
Be (0.000, 0.000, 0.000)



[3]
Below is LiBeHg after structural relaxation, with properties calculated at the PBE level.

Results
- E above lowest polymorph (meV/atom) = 273.6
- symmetry = P3m1, No. 156

Unit cell a=3.047 b=3.047 c=6.321 alpha=90.00 beta=90.00 gamma=120.00
Atoms (fractional coordinates):
Be (0.000, 0.000, 0.003)
Hg (0.333, 0.667, 0.314)
Li (0.667, 0.333, 0.683)



[4]
Below is Li3BeHg after structural relaxation, with properties calculated at the PBE level.

Results
- E above lowest polymorph (meV/atom) = 0.0
- symmetry = Pm-3m, No. 221

Unit cell a=4.542 b=4.542 c=4.542 alpha=90.00 beta=90.00 gamma=90.00
Atoms (fractional coordinates):
Be (0.000, 0.000, 0.000)
Li (0.000, 0.000, 0.500)
Li (0.000, 0.500, 0.000)
Li (0.500, 0.000, 0.000)
Hg (0.500, 0.500, 0.500)



[5]
Below is Li2BeHg after structural relaxation, with properties calculated at the PBE level.

Results
- E above lowest polymorph (meV/atom) = 140.6
- symmetry = P4mm, No. 99

Unit cell a=3.146 b=3.146 c=6.302 alpha=90.00 beta=90.00 gamma=90.00
Atoms (fractional coordinates):
Li (0.000, 0.000, 0.998)
Li (0.500, 0.500, 0.277)
Be (0.000, 0.000, 0.498)
Hg (0.500, 0.500, 0.727)



[6]
Below is LiBeHg after structural relaxation, with properties calculated at the PBE level.

Results
- E above lowest polymorph (meV/atom) = 25.4
- symmetry = I4mm, No. 107

Unit cell a=4.704 b=4.704 c=3.271 alpha=69.66 beta=69.65 gamma=40.69
Atoms (fractional coordinates):
Hg (0.667, 0.667, 0.333)
Be (0.991, 0.991, 0.009)
Li (0.342, 0.342, 0.658)



[7]
Below is Li2BeHg after structural relaxation, with properties calculated at the PBE level.

Results
- E above lowest polymorph (meV/atom) = 82.9
- symmetry = Cmmm, No. 65

Unit cell a=6.760 b=3.727 c=4.248 alpha=89.93 beta=51.17 gamma=123.35
Atoms (fractional coordinates):
Hg (0.500, 0.500, 0.000)
Be (0.000, 0.500, 0.500)
Li (0.500, 0.000, 0.500)
Li (0.000, 0.000, 0.000)



[8]
Below is LiBe2Hg after structural relaxation, with properties calculated at the PBE level.

Results
- symmetry = P4/mmm, No. 123

Unit cell a=3.077 b=3.083 c=5.492 alpha=90.00 beta=90.00 gamma=90.00
Atoms (fractional coordinates):
Li (0.500, 0.500, 0.750)
Hg (0.500, 0.500, 0.250)
Be (0.000, 0.000, 0.538)
Be (0.000, 0.000, 0.962)



Looking at size of the total moment for the records above, in order, we have 0.00 0.00 0.00 0.00 0.00 0.00 0.00 0.00 μB per formula unit.
Looking at formation energy from the elements for the records above, in order, we have 2.719 0.948 1.100 1.634 0.299 0.356 0.068 1.274 eV per formula unit.
Looking at final energy for the records above, in order, we have -7.05 -8.72 -4.84 -8.14 -7.56 -5.59 -7.79 -8.39 eV/f.u..